Record 1
## CePuMn2 (PBE)

Data for crystalline CePuMn2 at its relaxed geometry.

Crystal system   cubic
DFT total energy   -9.513 eV per atom

Lattice parameters (Å, degrees): 6.7529 6.7529 6.7529 90.00 90.00 90.00
Space group Fm-3m (No. 225)
Inequivalent atoms, fractional coordinates:
Ce  0.0000  0.0000  0.0000 x4
Pu  0.0000  0.0000  0.5000 x4
Mn  0.2500  0.2500  0.2500 x8

=====

Record 2
## Ce2PtCl (PBE)

Data for crystalline Ce2PtCl at its relaxed geometry.

Excess energy over the best structure of this formula in the dataset   0.050 eV/atom
Crystal system   trigonal
Formation energy from raw total energies   -1.197 eV per atom

Lattice parameters (Å, degrees): 4.0715 4.0715 22.6958 90.00 90.00 120.00
Space group R3m (No. 160, hexagonal axes)
Inequivalent atoms, fractional coordinates:
Ce  0.0000  0.0000  0.0000 x3
Ce  0.0000  0.0000  0.1892 x3
Pt  0.0000  0.0000  0.5938 x3
Cl  0.0000  0.0000  0.7634 x3

=====

Record 3
## DyHo2Bi (PBE)

Data for crystalline DyHo2Bi at its relaxed geometry.

Excess energy over the best structure of this formula in the dataset   0.225 eV/atom
Crystal system   trigonal

Lattice parameters (Å, degrees): 3.6387 3.6387 32.1836 90.00 90.00 120.00
Space group R3m (No. 160, hexagonal axes)
Inequivalent atoms, fractional coordinates:
Dy  0.0000  0.0000  0.0000 x3
Ho  0.0000  0.0000  0.5805 x3
Ho  0.0000  0.0000  0.7534 x3
Bi  0.0000  0.0000  0.1668 x3

=====

Record 4
## Y2TiCuS (PBE)

Data for crystalline Y2TiCuS at its relaxed geometry.

Crystal system   tetragonal
Formation energy from raw total energies   -0.397 eV per atom

Lattice parameters (Å, degrees): 5.1555 5.1555 4.4714 90.00 90.00 90.00
Space group P4/mmm (No. 123)
Inequivalent atoms, fractional coordinates:
Y  0.0000  0.5000  0.0000 x2
Ti  0.0000  0.0000  0.5000 x1
Cu  0.5000  0.5000  0.5000 x1
S  0.0000  0.0000  0.0000 x1

=====

Record 5
## Na2CdBi2 (PBE)

Data for crystalline Na2CdBi2 at its relaxed geometry.

Excess energy over the best structure of this formula in the dataset   0.008 eV/atom
Crystal system   orthorhombic

Lattice parameters (Å, degrees): 5.1321 13.1889 9.3852 90.00 90.00 90.00
Space group Cmc2_1 (No. 36)
Inequivalent atoms, fractional coordinates:
Na  0.0000  0.0548  0.0000 x4
Na  0.0000  0.2179  0.3553 x4
Cd  0.0000  0.3843  0.0465 x4
Bi  0.0000  0.1787  0.6983 x4
Bi  0.0000  0.4197  0.7332 x4

=====

Record 6
## CsThSb2Au2 (PBE)

Data for crystalline CsThSb2Au2 at its relaxed geometry.

Crystal system   trigonal
Formation energy from raw total energies   -0.665 eV per atom

Lattice parameters (Å, degrees): 4.6878 4.6878 10.1620 90.00 90.00 120.00
Space group P-3m1 (No. 164)
Inequivalent atoms, fractional coordinates:
Cs  0.0000  0.0000  0.0000 x1
Th  0.0000  0.0000  0.5000 x1
Sb  0.3333  0.6667  0.7177 x2
Au  0.3333  0.6667  0.3368 x2

=====

Record 7
## CePrB12 (PBE)

Data for crystalline CePrB12 at its relaxed geometry.

Crystal system   tetragonal
DFT total energy   -6.987 eV per atom

Lattice parameters (Å, degrees): 4.1317 4.1317 8.2667 90.00 90.00 90.00
Space group P4/mmm (No. 123)
Inequivalent atoms, fractional coordinates:
Ce  0.0000  0.0000  0.0000 x1
Pr  0.0000  0.0000  0.5000 x1
B  0.1993  0.5000  0.2492 x8
B  0.5000  0.5000  0.0993 x2
B  0.5000  0.5000  0.4001 x2

=====

Record 8
## K2HfAg (PBE)

Data for crystalline K2HfAg at its relaxed geometry.

Excess energy over the best structure of this formula in the dataset   0.181 eV/atom
Crystal system   cubic

Lattice parameters (Å, degrees): 8.3364 8.3364 8.3364 90.00 90.00 90.00
Space group Fm-3m (No. 225)
Inequivalent atoms, fractional coordinates:
K  0.2500  0.2500  0.2500 x8
Hf  0.0000  0.0000  0.0000 x4
Ag  0.0000  0.0000  0.5000 x4

=====

Record 9
## ScAlRu (PBE)

Data for crystalline ScAlRu at its relaxed geometry.

Crystal system   cubic
DFT total energy   -6.808 eV per atom

Lattice parameters (Å, degrees): 6.1159 6.1159 6.1159 90.00 90.00 90.00
Space group F-43m (No. 216)
Inequivalent atoms, fractional coordinates:
Sc  0.0000  0.0000  0.0000 x4
Al  0.0000  0.0000  0.5000 x4
Ru  0.2500  0.2500  0.2500 x4

=====

Record 10
## K2PPd (PBE)

Data for crystalline K2PPd at its relaxed geometry.

Crystal system   trigonal
DFT total energy   -3.528 eV per atom

Lattice parameters (Å, degrees): 4.1408 4.1408 27.8786 90.00 90.00 120.00
Space group R3m (No. 160, hexagonal axes)
Inequivalent atoms, fractional coordinates:
K  0.0000  0.0000  0.0000 x3
K  0.0000  0.0000  0.1689 x3
P  0.0000  0.0000  0.4178 x3
Pd  0.0000  0.0000  0.7511 x3

=====

Record 11
## SrTaNi2 (PBE)

Data for crystalline SrTaNi2 at its relaxed geometry.

Excess energy over the best structure of this formula in the dataset   0.600 eV/atom
Crystal system   tetragonal

Lattice parameters (Å, degrees): 7.1890 7.1890 6.7508 90.00 90.00 90.00
Space group I-42d (No. 122)
Inequivalent atoms, fractional coordinates:
Sr  0.0000  0.0000  0.0000 x4
Ta  0.0000  0.0000  0.5000 x4
Ni  0.1825  0.2500  0.6250 x8

=====

Record 12
## RbRuIN2 (PBE)

Data for crystalline RbRuIN2 at its relaxed geometry.

Excess energy over the best structure of this formula in the dataset   2.074 eV/atom
Crystal system   tetragonal
Formation energy from raw total energies   2.933 eV per atom

Lattice parameters (Å, degrees): 4.5455 4.5455 6.9120 90.00 90.00 90.00
Space group P4/mmm (No. 123)
Inequivalent atoms, fractional coordinates:
Rb  0.0000  0.0000  0.0000 x1
Ru  0.5000  0.5000  0.5000 x1
I  0.0000  0.0000  0.5000 x1
N  0.0000  0.5000  0.0000 x2

=====

Record 13
## NiMoS3 (PBE)

Data for crystalline NiMoS3 at its relaxed geometry.

Excess energy over the best structure of this formula in the dataset   0.000 eV/atom
Crystal system   cubic
Formation energy from raw total energies   0.530 eV per atom

Lattice parameters (Å, degrees): 4.6486 4.6486 4.6486 90.00 90.00 90.00
Space group Pm-3m (No. 221)
Inequivalent atoms, fractional coordinates:
Ni  0.0000  0.0000  0.0000 x1
Mo  0.5000  0.5000  0.5000 x1
S  0.0000  0.5000  0.5000 x3

=====

Record 14
## CsHfSCl2 (PBE)

Data for crystalline CsHfSCl2 at its relaxed geometry.

Excess energy over the best structure of this formula in the dataset   0.000 eV/atom
Crystal system   tetragonal
Formation energy from raw total energies   -1.532 eV per atom

Lattice parameters (Å, degrees): 5.1632 5.1632 4.9789 90.00 90.00 90.00
Space group P4/mmm (No. 123)
Inequivalent atoms, fractional coordinates:
Cs  0.0000  0.0000  0.0000 x1
Hf  0.5000  0.5000  0.5000 x1
S  0.5000  0.5000  0.0000 x1
Cl  0.0000  0.5000  0.5000 x2

=====

Record 15
## KTlOs (PBE)

Data for crystalline KTlOs at its relaxed geometry.

Excess energy over the best structure of this formula in the dataset   0.557 eV/atom
Crystal system   cubic

Lattice parameters (Å, degrees): 6.8379 6.8379 6.8379 90.00 90.00 90.00
Space group F-43m (No. 216)
Inequivalent atoms, fractional coordinates:
K  0.0000  0.0000  0.0000 x4
Tl  0.0000  0.0000  0.5000 x4
Os  0.2500  0.2500  0.2500 x4

=====

Record 16
## Cs2RbTlIn (PBE)

Data for crystalline Cs2RbTlIn at its relaxed geometry.

Excess energy over the best structure of this formula in the dataset   0.000 eV/atom
Crystal system   tetragonal

Lattice parameters (Å, degrees): 7.5881 7.5881 5.9773 90.00 90.00 90.00
Space group P4/mmm (No. 123)
Inequivalent atoms, fractional coordinates:
Cs  0.0000  0.5000  0.0000 x2
Rb  0.0000  0.0000  0.5000 x1
Tl  0.5000  0.5000  0.0000 x1
In  0.5000  0.5000  0.5000 x1

=====

Record 17
## Na3Co5I12 (PBE)

Data for crystalline Na3Co5I12 at its relaxed geometry.

Crystal system   cubic
Formation energy from raw total energies   -0.291 eV per atom

Lattice parameters (Å, degrees): 17.5294 17.5294 17.5294 90.00 90.00 90.00
Space group Ia-3d (No. 230)
Inequivalent atoms, fractional coordinates:
Na  0.0000  0.2500  0.1250 x24
Co  0.0000  0.0000  0.0000 x16
Co  0.0000  0.2500  0.3750 x24
I  0.0319  0.0533  0.6480 x96

=====

Record 18
## NdHfScIr2 (PBE)

Data for crystalline NdHfScIr2 at its relaxed geometry.

Crystal system   tetragonal
DFT total energy   -8.553 eV per atom

Lattice parameters (Å, degrees): 4.3753 4.3753 11.5418 90.00 90.00 90.00
Space group I-4m2 (No. 119)
Inequivalent atoms, fractional coordinates:
Nd  0.0000  0.0000  0.0000 x2
Hf  0.0000  0.5000  0.2500 x2
Sc  0.0000  0.5000  0.7500 x2
Ir  0.0000  0.0000  0.3855 x4

=====

Record 19
## La3Sm2Y5 (PBE)

Data for crystalline La3Sm2Y5 at its relaxed geometry.

Excess energy over the best structure of this formula in the dataset   0.098 eV/atom
Crystal system   orthorhombic

Lattice parameters (Å, degrees): 12.3462 17.2790 6.4968 90.00 90.00 90.00
Space group Ibam (No. 72)
Inequivalent atoms, fractional coordinates:
La  0.0000  0.0000  0.2500 x4
La  0.2463  0.3288  0.0000 x8
Sm  0.0885  0.3315  0.5000 x8
Y  0.0000  0.5000  0.2500 x4
Y  0.0878  0.1652  0.0000 x8
Y  0.2478  0.5000  0.2500 x8

=====

Record 20
## LaCe2Pb2 (PBE)

Data for crystalline LaCe2Pb2 at its relaxed geometry.

Excess energy over the best structure of this formula in the dataset   0.000 eV/atom
Crystal system   monoclinic

Lattice parameters (Å, degrees): 10.1661 8.2979 7.8604 90.00 110.27 90.00
Space group C2/c (No. 15)
Inequivalent atoms, fractional coordinates:
La  0.0000  0.0907  0.2500 x4
Ce  0.0970  0.4363  0.9321 x8
Pb  0.1911  0.2033  0.6672 x8

=====

Record 21
## KBeAs2Se (PBE)

Data for crystalline KBeAs2Se at its relaxed geometry.

Excess energy over the best structure of this formula in the dataset   0.000 eV/atom
Crystal system   tetragonal
Formation energy from raw total energies   0.074 eV per atom

Lattice parameters (Å, degrees): 4.5955 4.5955 5.2236 90.00 90.00 90.00
Space group P4/mmm (No. 123)
Inequivalent atoms, fractional coordinates:
K  0.0000  0.0000  0.0000 x1
Be  0.5000  0.5000  0.5000 x1
As  0.0000  0.5000  0.5000 x2
Se  0.5000  0.5000  0.0000 x1

=====

Record 22
## YZrCd2Pt (PBE)

Data for crystalline YZrCd2Pt at its relaxed geometry.

Crystal system   tetragonal
DFT total energy   -4.225 eV per atom

Lattice parameters (Å, degrees): 5.3958 5.3958 4.8940 90.00 90.00 90.00
Space group P4/mmm (No. 123)
Inequivalent atoms, fractional coordinates:
Y  0.0000  0.0000  0.0000 x1
Zr  0.5000  0.5000  0.5000 x1
Cd  0.0000  0.5000  0.5000 x2
Pt  0.5000  0.5000  0.0000 x1